# 1
Here is crystalline CaAc12Rh7 at its relaxed geometry from the Alexandria database. Energies are from PBE.

Values from the calculation:
- Formation enthalpy at 0 K: -0.52 eV/atom
- Spin magnetization: 0.00 μB/atom
- Uncorrected energy: -5.663 eV/atom
- Fermi-level density of states: 13.85 states/eV/cell

Cell and atoms, written as POSCAR:
```
CaAc12Rh7
1.0
7.6763 4.4319 3.4833
-7.6763 4.4319 3.4833
0.0000 -8.8639 3.4833
Ca Ac Rh
1 12 7
Direct
0.0000 0.0000 0.0000
0.0767 0.2222 0.6905
0.1556 0.4506 0.3744
0.2222 0.6905 0.0767
0.3095 0.9233 0.7778
0.3744 0.1556 0.4506
0.4506 0.3744 0.1556
0.5494 0.6256 0.8444
0.6256 0.8444 0.5494
0.6905 0.0767 0.2222
0.7778 0.3095 0.9233
0.8444 0.5494 0.6256
0.9233 0.7778 0.3095
0.0293 0.1226 0.3583
0.1226 0.3583 0.0293
0.3583 0.0293 0.1226
0.5000 0.5000 0.5000
0.6417 0.9707 0.8774
0.8774 0.6417 0.9707
0.9707 0.8774 0.6417
```



# 2
Here is crystalline Y8Pd2Ru at its relaxed geometry from the Alexandria database. Energies are from PBE.

Values from the calculation:
- Formation enthalpy at 0 K: -0.31 eV/atom
- Spin magnetization: 0.00 μB/atom
- Energy relative to the lowest polymorph listed for this composition: 93.6 meV/atom
- Uncorrected energy: -6.799 eV/atom
- Fermi-level density of states: 12.73 states/eV/cell

Cell and atoms, written as POSCAR:
```
Y8Pd2Ru
1.0
4.1388 -6.5287 0.0000
4.1388 6.5287 0.0000
-2.0789 0.0000 5.5966
Y Pd Ru
8 2 1
Direct
0.0000 0.0000 0.0000
0.0216 0.2695 0.5609
0.1451 0.5611 0.1719
0.2695 0.0216 0.5609
0.4415 0.6894 0.7638
0.5611 0.1451 0.1719
0.6894 0.4415 0.7638
0.7127 0.7127 0.3487
0.0542 0.6659 0.6768
0.6659 0.0542 0.6768
0.3561 0.3561 0.3147
```



# 3
Here is crystalline CsSnAu2 at its relaxed geometry from the Alexandria database. Energies are from PBE.

Values from the calculation:
- Formation enthalpy at 0 K: -0.28 eV/atom
- Spin magnetization: 0.00 μB/atom
- Uncorrected energy: -3.136 eV/atom
- Fermi-level density of states: 2.65 states/eV/cell

Cell and atoms, written as POSCAR:
```
CsSnAu2
1.0
2.4055 1.3888 6.7402
-2.4055 1.3888 6.7402
0.0000 -2.7776 6.7402
Cs Sn Au
1 1 2
Direct
0.0000 0.0000 0.0000
0.1906 0.1906 0.1906
0.4803 0.4803 0.4803
0.8082 0.8082 0.8082
```



# 4
Here is crystalline NbOs2N2 at its relaxed geometry from the Alexandria database. Energies are from PBE.

Values from the calculation:
- Spin magnetization: 0.00 μB/atom
- Energy relative to the lowest polymorph listed for this composition: 828.3 meV/atom
- Raw formation energy: 7.3 eV/f.u.
- Uncorrected energy: -8.377 eV/atom
- Fermi-level density of states: 8.57 states/eV/cell

Cell and atoms, written as POSCAR:
```
NbOs2N2
1.0
6.8631 0.0000 0.0000
0.0000 6.8631 0.0000
0.0000 0.0000 2.7216
Nb Os N
2 4 4
Direct
0.0000 0.0000 0.0000
0.5000 0.5000 0.0000
0.1331 0.3669 0.0000
0.3669 0.8669 0.0000
0.6331 0.1331 0.0000
0.8669 0.6331 0.0000
0.1218 0.6218 0.5000
0.3782 0.1218 0.5000
0.6218 0.8782 0.5000
0.8782 0.3782 0.5000
```



# 5
Here is crystalline Pu3Ga2Au4 at its relaxed geometry from the Alexandria database. Energies are from PBE.

Values from the calculation:
- Formation enthalpy at 0 K: -0.51 eV/atom
- Spin magnetization: 1.82 μB/atom
- Uncorrected energy: -7.416 eV/atom
- Fermi-level density of states: 23.49 states/eV/cell

Cell and atoms, written as POSCAR:
```
Pu3Ga2Au4
1.0
5.1977 -2.4205 0.0000
5.1977 2.4205 0.0000
-5.0438 0.0000 7.3659
Pu Ga Au
3 2 4
Direct
0.0000 0.0000 0.0000
0.3358 0.3358 0.3331
0.6642 0.6642 0.6669
0.3876 0.3876 0.7186
0.6124 0.6124 0.2814
0.0634 0.0634 0.3905
0.2864 0.2864 0.9434
0.7136 0.7136 0.0566
0.9366 0.9366 0.6095
```



# 6
Here is crystalline TlAgS2 at its relaxed geometry from the Alexandria database. Energies are from PBE.

Values from the calculation:
- Spin magnetization: 0.00 μB/atom
- Raw formation energy: 0.2 eV/f.u.
- Uncorrected energy: -3.321 eV/atom
- Fermi-level density of states: 6.00 states/eV/cell

Cell and atoms, written as POSCAR:
```
TlAgS2
1.0
2.0226 -10.8398 0.0000
2.0226 10.8398 0.0000
0.0000 0.0000 4.7164
Tl Ag S
2 2 4
Direct
0.1803 0.8197 0.7500
0.8197 0.1803 0.2500
0.4320 0.5680 0.7500
0.5680 0.4320 0.2500
0.3206 0.6794 0.7500
0.4562 0.5438 0.2500
0.5438 0.4562 0.7500
0.6794 0.3206 0.2500
```



- What is the formula in the third record?
  CsSnAu2